{"formula": "Na2MgAs2Ir", "functional": "PBE", "state": "relaxed", "cell": [[-1.1248, -0.4627, -5.6486], [-0.8803, -5.7427, 0.6458], [-6.2662, 4.3681, 3.8452]], "species": ["Na", "As", "Mg", "Ir", "Na", "Na", "Mg", "As", "As", "As", "Na", "Ir"], "fractional_positions": [[0.0624, 0.3199, 0.6398], [0.6091, 0.3909, 0.7818], [0.0000, 0.2500, 0.0000], [0.5000, 0.7500, 0.0000], [0.4226, 0.1801, 0.3602], [0.9376, 0.6801, 0.3602], [0.0000, 0.7500, 0.0000], [0.3909, 0.6091, 0.2182], [0.1728, 0.8909, 0.7818], [0.8272, 0.1091, 0.2182], [0.5774, 0.8199, 0.6398], [0.5000, 0.2500, 0.0000]], "n_ef_per_ev_fu": 1.9, "e_tot_ev_per_atom": -4.134, "spacegroup": "Ibam", "e_form_mev_per_atom": -402}

{"formula": "RbHoHgBr6", "functional": "PBE", "state": "relaxed", "cell": [[-4.0291, 5.9220, -1.7129], [-3.7517, 3.5453, 5.2529], [6.0403, 4.4824, 1.2901]], "species": ["Br", "Rb", "Hg", "Br", "Br", "Br", "Br", "Ho", "Br"], "fractional_positions": [[0.9936, 0.3795, 0.2843], [0.0000, 0.0000, 0.0000], [0.3332, 0.3333, 0.5000], [0.6269, 0.9936, 0.2843], [0.3795, 0.9936, 0.7157], [0.6269, 0.3795, 0.7156], [0.9936, 0.6269, 0.7157], [0.6667, 0.6667, 0.5000], [0.3795, 0.6269, 0.2843]], "n_ef_per_ev_fu": 0.0, "e_tot_ev_per_atom": -3.135, "spacegroup": "P312", "raw_formation_energy_ev_per_atom": -1.371}

{"formula": "PmPr2UP4", "functional": "PBE", "state": "relaxed", "cell": [[-2.1535, -2.4935, 2.4353], [5.3841, -4.6554, -0.0058], [0.8523, 4.5558, 5.4184]], "species": ["Pm", "Pr", "P", "P", "P", "U", "Pr", "P"], "fractional_positions": [[0.5000, 0.5000, 0.0000], [0.5000, 0.0000, 0.5000], [0.0000, 0.2430, 0.7629], [0.0000, 0.7570, 0.2371], [0.5000, 0.2365, 0.2335], [0.0000, 0.0000, 0.0000], [0.0000, 0.5000, 0.5000], [0.5000, 0.7635, 0.7665]], "n_ef_per_ev_fu": 7.6, "e_tot_ev_per_atom": -7.290, "spacegroup": "P2/m", "e_form_mev_per_atom": -1386}

{"formula": "BC4", "functional": "PBE", "state": "relaxed", "cell": [[4.4502, 0.0080, -0.7740], [-3.1622, 3.0920, -0.7072], [-0.0282, 0.0257, 4.4726]], "species": ["C", "B", "C", "C", "C", "C", "C", "C", "C", "B"], "fractional_positions": [[0.6633, 0.9620, 0.0995], [0.1869, 0.5740, 0.8465], [0.6120, 0.7961, 0.4013], [0.8380, 0.5539, 0.8987], [0.4494, 0.3476, 0.2951], [0.4020, 0.2089, 0.6100], [0.7867, 0.3880, 0.2005], [0.0480, 0.1411, 0.6900], [0.0006, 0.0024, 0.0049], [0.2631, 0.7760, 0.4535]], "n_ef_per_ev_fu": 0.3, "e_tot_ev_per_atom": -8.408, "spacegroup": "P-1", "e_form_mev_per_atom": 307}

{"formula": "Re2PBr", "functional": "PBE", "state": "relaxed", "cell": [[-4.7890, 1.1464, -6.5607], [-5.8690, -1.4202, -5.5524], [-6.8234, 1.1393, -4.4086]], "species": ["P", "Re", "Br", "Re"], "fractional_positions": [[0.7500, 0.7500, 0.7500], [0.0088, 0.0088, 0.0088], [0.2500, 0.2500, 0.2500], [0.4912, 0.4912, 0.4912]], "n_ef_per_ev_fu": 2.2, "e_tot_ev_per_atom": -7.423, "spacegroup": "R-3m", "raw_formation_energy_ev_per_atom": 0.572}

{"formula": "Tb3Nd2Sm6In", "functional": "PBE", "state": "relaxed", "cell": [[6.1921, -0.0043, 0.0032], [-3.0982, 5.3612, 0.0032], [-1.0421, -1.8044, 11.6878]], "species": ["Tb", "Sm", "Tb", "Sm", "Nd", "In", "Sm", "Sm", "Nd", "Sm", "Sm", "Tb"], "fractional_positions": [[0.5000, 0.5000, 0.5000], [0.9166, 0.5907, 0.7501], [0.8327, 0.1673, 0.5000], [0.5907, 0.9166, 0.7501], [0.6666, 0.3334, 0.0000], [0.0000, 0.0000, 0.0000], [0.7580, 0.7580, 0.2507], [0.2420, 0.2420, 0.7493], [0.3334, 0.6666, 0.0000], [0.0834, 0.4093, 0.2499], [0.4093, 0.0834, 0.2499], [0.1673, 0.8327, 0.5000]], "n_ef_per_ev_fu": 14.3, "e_tot_ev_per_atom": -4.593, "spacegroup": "C2/m", "e_form_mev_per_atom": -53}

{"formula": "P3C", "functional": "PBE", "state": "relaxed", "cell": [[-1.4323, 4.1714, -3.1325], [-1.5837, -1.8942, -1.7983], [-5.9844, -0.1544, 5.4328]], "species": ["P", "P", "C", "P", "P", "P", "P", "C"], "fractional_positions": [[0.1654, 0.5000, 0.4183], [0.6587, 0.5000, 0.9211], [0.4771, 0.5000, 0.3734], [0.9484, 0.0000, 0.2496], [0.1654, 0.0000, 0.9183], [0.9484, 0.5000, 0.7496], [0.6587, 0.0000, 0.4211], [0.4771, 0.0000, 0.8734]], "n_ef_per_ev_fu": 1.0, "e_tot_ev_per_atom": -5.893, "spacegroup": "Cm", "e_form_mev_per_atom": 471}

{"formula": "ZrTaAg2I", "functional": "PBE", "state": "relaxed", "cell": [[-3.5594, -2.1603, 2.8928], [3.5866, -2.9742, 2.1920], [0.7513, 3.5301, 3.5606]], "species": ["I", "Ag", "Ta", "Ag", "Zr"], "fractional_positions": [[0.0000, 0.0000, 0.0000], [0.0000, 0.0000, 0.5000], [0.0000, 0.5000, 0.0000], [0.5000, 0.0000, 0.0000], [0.5000, 0.5000, 0.5000]], "n_ef_per_ev_fu": 4.6, "e_tot_ev_per_atom": -3.961, "spacegroup": "P4/mmm", "raw_formation_energy_ev_per_atom": 1.570}

{"formula": "BaCrTc2", "functional": "PBE", "state": "relaxed", "cell": [[-7.7193, -5.4040, -1.9223], [-7.2576, -6.2340, 0.9743], [-8.8619, -3.7192, 0.3466]], "species": ["Tc", "Cr", "Ba", "Tc"], "fractional_positions": [[0.4775, 0.4775, 0.4775], [0.7500, 0.7500, 0.7500], [0.2500, 0.2500, 0.2500], [0.0225, 0.0225, 0.0225]], "n_ef_per_ev_fu": 3.4, "e_tot_ev_per_atom": -7.137, "spacegroup": "R-3m", "e_form_mev_per_atom": 933}

{"formula": "Sc2HgH2", "functional": "PBE", "state": "relaxed", "cell": [[-4.3497, 0.7573, 5.3368], [-5.2760, -2.0029, -4.0159], [0.4740, -2.8275, 0.7875]], "species": ["Sc", "H", "Hg", "Hg", "H", "H", "H", "Sc", "Sc", "Sc"], "fractional_positions": [[0.6517, 0.8483, 0.5000], [0.4013, 0.9013, 0.0000], [0.0000, 0.0000, 0.0000], [0.5000, 0.5000, 0.0000], [0.5987, 0.0987, 0.0000], [0.9013, 0.5987, 0.0000], [0.0987, 0.4013, 0.0000], [0.3483, 0.1517, 0.5000], [0.1517, 0.6517, 0.5000], [0.8483, 0.3483, 0.5000]], "n_ef_per_ev_fu": 4.5, "e_tot_ev_per_atom": -4.018, "spacegroup": "P4/mbm"}

{"formula": "RuC", "functional": "PBE", "state": "relaxed", "cell": [[4.1394, 0.0000, 0.0000], [0.0000, 3.3656, -0.0006], [0.0000, 1.2240, 3.1355]], "species": ["Ru", "C", "C", "Ru"], "fractional_positions": [[0.5000, 0.1142, 0.1142], [0.5000, 0.7481, 0.7480], [0.0000, 0.0019, 0.0020], [0.0000, 0.6358, 0.6358]], "n_ef_per_ev_fu": 0.3, "e_tot_ev_per_atom": -8.669, "spacegroup": "Cmcm", "e_form_mev_per_atom": 581}

{"formula": "RePOsCl2", "functional": "PBE", "state": "relaxed", "cell": [[-2.0485, -4.0563, -1.8142], [-1.5267, -1.2336, 4.4820], [-3.8879, 2.2756, -0.6980]], "species": ["Cl", "Re", "Os", "P", "Cl"], "fractional_positions": [[0.5000, 0.0000, 0.0000], [0.5000, 0.5000, 0.5000], [0.0000, 0.0000, 0.0000], [0.0000, 0.0000, 0.5000], [0.0000, 0.5000, 0.0000]], "n_ef_per_ev_fu": 2.5, "e_tot_ev_per_atom": -5.124, "spacegroup": "P4/mmm", "raw_formation_energy_ev_per_atom": 1.432}

Please write out number 5 again, unchanged.
{"formula": "Re2PBr", "functional": "PBE", "state": "relaxed", "cell": [[-4.7890, 1.1464, -6.5607], [-5.8690, -1.4202, -5.5524], [-6.8234, 1.1393, -4.4086]], "species": ["P", "Re", "Br", "Re"], "fractional_positions": [[0.7500, 0.7500, 0.7500], [0.0088, 0.0088, 0.0088], [0.2500, 0.2500, 0.2500], [0.4912, 0.4912, 0.4912]], "n_ef_per_ev_fu": 2.2, "e_tot_ev_per_atom": -7.423, "spacegroup": "R-3m", "raw_formation_energy_ev_per_atom": 0.572}

> What is the formula in the sixth record?

Tb3Nd2Sm6In

> Which formula does entry 12 have?

RePOsCl2